Record 1
## Si2TcW (PBE)

Data for an optimized crystal structure of Si2TcW.

Computed properties:
The value obtained for the formation energy (no corrections) is 48 meV/atom. The space group is Immm. The calculation puts the density of states at the Fermi level at 0.736 states/eV per atom.

Structure (POSCAR):
```
Si2TcW
1.0
-1.5172 2.4063 3.9423
1.5172 -2.4063 3.9423
1.5172 2.4063 -3.9423
Si Tc W
2 1 1
Direct
0.2455 0.2455 0.0000
0.7545 0.7545 0.0000
0.0000 0.5000 0.5000
0.5000 0.0000 0.5000
```

Record 2
## ReN2 (PBE)

Data for an optimized crystal structure of ReN2.

Computed properties:
The value obtained for the formation energy (no corrections) is 423 meV/atom. The space group is Pm. The calculation puts the density of states at the Fermi level at 0.403 states/eV per atom.

Structure (POSCAR):
```
ReN2
1.0
4.0114 0.0000 0.0000
0.0000 2.8819 0.0000
-0.2982 0.0000 5.0916
Re N
2 4
Direct
0.0000 0.0000 0.0000
0.4333 0.5000 0.5574
0.0435 0.0000 0.5931
0.2162 0.5000 0.2103
0.5234 0.0000 0.8637
0.7754 0.0000 0.4158
```

Record 3
## LiHf3Se6 (PBE)

Data for an optimized crystal structure of LiHf3Se6.

Computed properties:
The value obtained for the formation energy (no corrections) is -1172 meV/atom. The space group is Cmc2_1. The calculation puts the density of states at the Fermi level at 0.500 states/eV per atom.

Structure (POSCAR):
```
LiHf3Se6
1.0
5.2505 -6.4699 0.0000
5.2505 6.4699 0.0000
0.0000 0.0000 6.5750
Li Hf Se
2 6 12
Direct
0.2080 0.7920 0.5000
0.7920 0.2080 0.0000
0.0695 0.2721 0.5239
0.2721 0.0695 0.0239
0.3995 0.6005 0.1332
0.6005 0.3995 0.6332
0.7279 0.9305 0.5239
0.9305 0.7279 0.0239
0.0332 0.9668 0.3279
0.0979 0.5437 0.2842
0.2318 0.7682 0.8723
0.3007 0.3699 0.8308
0.3699 0.3007 0.3308
0.4563 0.9021 0.2842
0.5437 0.0979 0.7842
0.6301 0.6993 0.8308
0.6993 0.6301 0.3308
0.7682 0.2318 0.3723
0.9021 0.4563 0.7842
0.9668 0.0332 0.8279
```

Record 4
## BeNbRu2 (PBE)

Data for an optimized crystal structure of BeNbRu2.

Computed properties:
Its formation energy is -245.8 meV/atom. The space group is P4/mmm. The calculation puts the density of states at the Fermi level at 0.570 states/eV per atom.

Structure (POSCAR):
```
BeNbRu2
1.0
4.1712 0.0000 0.0000
0.0000 4.1712 0.0000
0.0000 0.0000 3.1826
Be Nb Ru
1 1 2
Direct
0.0000 0.0000 0.0000
0.5000 0.5000 0.0000
0.0000 0.5000 0.5000
0.5000 0.0000 0.5000
```

Record 5
## Lu2OsS (PBE)

Data for an optimized crystal structure of Lu2OsS.

Computed properties:
The value obtained for the formation energy (no corrections) is -962 meV/atom. The space group is P4/mmm. The calculation puts the density of states at the Fermi level at 0.193 states/eV per atom.

Structure (POSCAR):
```
Lu2OsS
1.0
3.3292 0.0000 0.0000
0.0000 3.3292 0.0000
0.0000 0.0000 6.9515
Lu Os S
2 1 1
Direct
0.0000 0.0000 0.2395
0.0000 0.0000 0.7605
0.5000 0.5000 0.0000
0.5000 0.5000 0.5000
```

Record 6
## CsRbCa2Au (PBE)

Data for an optimized crystal structure of CsRbCa2Au.

Computed properties:
Its formation energy is -146.3 meV/atom. The space group is P4/mmm. The calculation puts the density of states at the Fermi level at 0.735 states/eV per atom.

Structure (POSCAR):
```
CsRbCa2Au
1.0
5.9844 0.0000 0.0000
0.0000 5.9844 0.0000
0.0000 0.0000 7.0479
Cs Rb Ca Au
1 1 2 1
Direct
0.0000 0.0000 0.0000
0.5000 0.5000 0.0000
0.0000 0.5000 0.5000
0.5000 0.0000 0.5000
0.5000 0.5000 0.5000
```

no.,volume (Å³ per atom)
1,14.393
2,9.810
3,22.335
4,13.843
5,19.262
6,50.481